(1)
KSr2Cl: relaxed, GGA-PBE.

Output
crystal system = tetragonal
energy above the most stable polymorph in this dataset = 3.730 kcal/mol of atoms
formation energy from raw total energies = -0.6693 eV per atom

Cell: 10.0333 10.0333 8.0596 Å, 90.00 90.00 90.00°
With the nearest neighbours (Å) after each atom.
Space group I-42d (No. 122)
Symmetry-distinct sites (fractional):
K: 0.0000 0.0000 0.0000 (multiplicity 4)  2 Cl 4.03, 8 Sr 4.18-4.50
Sr: 0.1414 0.2500 0.6250 (multiplicity 8)  2 Cl 3.05
Cl: 0.0000 0.0000 0.5000 (multiplicity 4)  4 Sr 3.05



(2)
PrSm2Hg6: relaxed, GGA-PBE.

Output
crystal system = hexagonal
calculated formation energy = -40.9 kJ/mol of atoms

Cell: 8.7312 8.7312 3.4833 Å, 90.00 90.00 120.00°
With the nearest neighbours (Å) after each atom.
Space group P6/mmm (No. 191)
Symmetry-distinct sites (fractional):
Pr: 0.0000 0.0000 0.0000 (multiplicity 1)  12 Hg 3.40, 2 Pr 3.48
Sm: 0.3333 0.6667 0.0000 (multiplicity 2)  12 Hg 3.39, 2 Sm 3.48
Hg: 0.0000 0.3347 0.5000 (multiplicity 6)  3 Hg 2.89-2.92



(3)
Li3ErPt2: relaxed, GGA-PBE.

Output
crystal system = monoclinic
calculated formation energy = -68.7 kJ/mol of atoms

Cell: 13.4728 4.0836 8.4436 Å, 90.00 120.08 90.00°
With the nearest neighbours (Å) after each atom.
Space group C2/m (No. 12)
Symmetry-distinct sites (fractional):
Li: 0.0582 0.0000 0.3947 (multiplicity 4)  6 Li 2.61-2.90, 3 Pt 2.63-2.70
Li: 0.0809 0.5000 0.6928 (multiplicity 4)  3 Pt 2.55-2.60, 3 Li 2.61-2.70
Li: 0.2256 0.5000 0.5596 (multiplicity 4)  4 Li 2.51-2.74, 3 Pt 2.67-2.75
Er: 0.1335 0.0000 0.0139 (multiplicity 4)  7 Pt 2.89-3.12, 4 Li 3.10-3.18
Pt: 0.0655 0.5000 0.1921 (multiplicity 4)  4 Li 2.60-2.75, 2 Pt 2.81-2.83
Pt: 0.2079 0.0000 0.7474 (multiplicity 4)  5 Li 2.55-2.67, 1 Pt 2.83